1.
CaMnAl3 after structural relaxation. Source: Alexandria via LeMat-Bulk, functional GGA-PBE.

The formation energy is -0.19 eV/atom. Its energy above the most stable polymorph in this dataset is 0.0 kJ per mole of atoms.

a b c (Å): 4.615 4.615 4.615
angles (deg): 90.00 90.00 90.00
Space group Pm-3m (No. 221)
One atom of each set of equivalent atoms:
Ca 0.000 0.000 0.000 [1 per cell]
Mn 0.500 0.500 0.500 [1 per cell]
Al 0.000 0.500 0.500 [3 per cell]

=====

2.
Bi2H6Os after structural relaxation. Source: Alexandria via LeMat-Bulk, functional GGA-PBE.

For the final energy, the calculation gives -4.168 eV/atom.

a b c (Å): 6.377 8.312 4.471
angles (deg): 90.00 90.00 90.00
Space group Pbam (No. 55)
One atom of each set of equivalent atoms:
Bi 0.057 0.222 0.000 [4 per cell]
H 0.137 0.825 0.500 [4 per cell]
H 0.221 0.036 0.297 [8 per cell]
Os 0.000 0.000 0.500 [2 per cell]

=====

3.
MgCu2Pd5 after structural relaxation. Source: Alexandria via LeMat-Bulk, functional GGA-PBE.

The formation energy is -0.20 eV/atom. Its energy above the most stable polymorph in this dataset is 6.7 kJ per mole of atoms.

a b c (Å): 6.645 6.645 10.906
angles (deg): 90.00 90.00 90.00
Space group I4/mcm (No. 140)
One atom of each set of equivalent atoms:
Mg 0.000 0.000 0.250 [4 per cell]
Cu 0.141 0.359 0.000 [8 per cell]
Pd 0.000 0.000 0.000 [4 per cell]
Pd 0.151 0.349 0.344 [16 per cell]

=====

4.
AcAl4Bi after structural relaxation. Source: Alexandria via LeMat-Bulk, functional GGA-PBE.

The formation energy is -0.09 eV/atom.

a b c (Å): 8.274 8.274 8.274
angles (deg): 90.00 90.00 90.00
Space group F-43m (No. 216)
One atom of each set of equivalent atoms:
Ac 0.000 0.000 0.000 [4 per cell]
Al 0.124 0.124 0.624 [16 per cell]
Bi 0.250 0.250 0.250 [4 per cell]